Compound: RbScSn2
Source: Alexandria via LeMat-Bulk
Functional: PBE
Structure: optimized geometry

a = 5.496 Å, b = 5.496 Å, c = 5.496 Å
α = 60.00°, β = 60.00°, γ = 60.00°
Element x y z (fractional)
Sc (0.000, 0.000, 0.000)
Sn (0.250, 0.250, 0.250)
Sn (0.750, 0.750, 0.750)
Rb (0.500, 0.500, 0.500)

Volume: 29.34 A^3/atom
Size of the total moment: 0.0 Bohr magnetons per cell
Energy above the lowest structure with this stoichiometry: 0.391 eV/atom
ΔE_f: 0.039 eV/atom